No. 1
Computed, not measured: Sm4TlTe2As after structural relaxation at the PBE level of DFT.

Output
- final energy (eV per atom) = -5.2012
- symmetry = P2/m

a b c (Å): 7.6783 4.3193 7.6877
angles (deg): 90.00 108.61 90.00
Positions (direct):
Sm: 0.2341 0.0000 0.2267
Sm: 0.2448 0.5000 0.7599
Sm: 0.7552 0.5000 0.2401
Sm: 0.7659 0.0000 0.7733
Tl: 0.5000 0.0000 0.0000
Te: 0.0000 0.0000 0.5000
Te: 0.5000 0.5000 0.5000
As: 0.0000 0.5000 0.0000


No. 2
Computed, not measured: Dy5CdRh2 after structural relaxation at the PBE level of DFT.

Output
- formation energy (meV per atom) = -583
- symmetry = I4/mcm

a b c (Å): 8.6809 8.6809 8.6809
angles (deg): 126.84 126.84 78.52
Positions (direct):
Dy: 0.0000 0.0000 0.0000
Dy: 0.0247 0.5247 0.8197
Dy: 0.2050 0.0247 0.5000
Dy: 0.2950 0.7950 0.8197
Dy: 0.4753 0.2950 0.5000
Dy: 0.5000 0.5000 0.0000
Dy: 0.5247 0.7050 0.5000
Dy: 0.7050 0.2050 0.1803
Dy: 0.7950 0.9753 0.5000
Dy: 0.9753 0.4753 0.1803
Cd: 0.2500 0.2500 0.0000
Cd: 0.7500 0.7500 0.0000
Rh: 0.1401 0.3599 0.5000
Rh: 0.3599 0.8599 0.2198
Rh: 0.6401 0.1401 0.7802
Rh: 0.8599 0.6401 0.5000